{
  "formula": "Pr3Al2Cd3",
  "functional": "PBE",
  "state": "relaxed",
  "total_energy_ev_per_atom": -3.41,
  "ef_ev_per_atom": -0.34,
  "lattice": [[2.378, -5.647, 0.000], [2.378, 5.647, 0.000], [0.000, 0.000, 15.811]],
  "species": ["Pr", "Pr", "Pr", "Pr", "Pr", "Pr", "Al", "Al", "Al", "Al", "Cd", "Cd", "Cd", "Cd", "Cd", "Cd"],
  "fractional_positions": [[0.091, 0.909, 0.608], [0.091, 0.909, 0.892], [0.372, 0.628, 0.750], [0.628, 0.372, 0.250], [0.909, 0.091, 0.108], [0.909, 0.091, 0.392], [0.203, 0.797, 0.103], [0.203, 0.797, 0.397], [0.797, 0.203, 0.603], [0.797, 0.203, 0.897], [0.338, 0.662, 0.250], [0.379, 0.621, 0.536], [0.379, 0.621, 0.964], [0.621, 0.379, 0.036], [0.621, 0.379, 0.464], [0.662, 0.338, 0.750]]
}